## AcCd4InAg2 (GGA-PBE)

Data for a relaxed AcCd4InAg2 crystal.

```
8
Lattice="2.414 1.394 10.028 -2.414 1.394 10.028 0.000 -2.787 10.028" Properties=species:S:1:pos:R:3 pbc="T T T"
Ac 0.000 0.000 0.000
Cd 0.000 0.000 3.643
Cd 0.000 0.000 11.996
Cd 0.000 0.000 18.089
Cd 0.000 0.000 26.442
In 0.000 0.000 15.042
Ag 0.000 0.000 7.541
Ag 0.000 0.000 22.544
```

Output
DOS at the Fermi energy = 3.5 states/eV/f.u.
M_tot = 0.0 μB per formula unit
Energy relative to the elements = -0.121 eV per atom
Raw total energy = -2.147 eV per atom
V = 202.38 Å³/cell